[1]
# MnSe

A geometry-optimized MnSe structure (PBE, the Alexandria database).

The density of states at the Fermi level is 6.2 states/eV/cell. The formation energy from raw total energies comes out at -0.21 eV per atom.

The structure belongs to space group Cm (No. 8); the cell edges are 12.911, 3.562 and 6.569 Å and the angles 90.00°, 117.61° and 90.00°. The distinct sites, in fractional coordinates, are Mn at (0.000, 0.000, 0.000), Mn at (0.095, 0.500, 0.449), Mn at (0.383, 0.500, 0.397), Se at (0.017, 0.500, 0.729), Se at (0.205, 0.000, 0.362) and Se at (0.385, 0.000, 0.092).

---

[2]
# CeUPa2

A geometry-optimized CeUPa2 structure (PBE, the Alexandria database).

The density of states at the Fermi level is 32.4 states/eV/cell. The value obtained for the distance to the lowest polymorph of the same formula is 0.1032 eV/atom. Its formation enthalpy at 0 K is 0.2268 eV/atom.

The structure belongs to space group R-3m (No. 166, hexagonal axes); the cell edges are 3.0800, 3.0800 and 35.1012 Å and the angles 90.00°, 90.00° and 120.00°. The distinct sites, in fractional coordinates, are Ce at (0.0000, 0.0000, 0.0000), U at (0.0000, 0.0000, 0.5000) and Pa at (0.0000, 0.0000, 0.0853).

---

[3]
# CeErAs

A geometry-optimized CeErAs structure (PBE, the Alexandria database).

The density of states at the Fermi level is 11.4 states/eV/cell. Its formation enthalpy at 0 K is -0.6859 eV/atom.

The structure belongs to space group I4mm (No. 107); the cell edges are 3.724, 3.724 and 11.143 Å and the angles 90.00°, 90.00° and 90.00°. The distinct sites, in fractional coordinates, are Ce at (0.000, 0.000, 0.000), Er at (0.000, 0.000, 0.720) and As at (0.000, 0.000, 0.344).

---

[4]
# TlHO

A geometry-optimized TlHO structure (PBE, the Alexandria database).

The value obtained for the distance to the lowest polymorph of the same formula is 0.0642 eV/atom.

The structure belongs to space group P4mm (No. 99); the cell edges are 3.575, 3.575 and 4.147 Å and the angles 90.00°, 90.00° and 90.00°. The distinct sites, in fractional coordinates, are Tl at (0.000, 0.000, 0.000), H at (0.500, 0.500, 0.528) and O at (0.500, 0.500, 0.763).

---

[5]
# Rb5Sr3F12

A geometry-optimized Rb5Sr3F12 structure (PBE, the Alexandria database).

The density of states at the Fermi level is 143.6 states/eV/cell. The formation energy from raw total energies comes out at -2.95 eV per atom.

The structure belongs to space group Ia-3d (No. 230); the cell edges are 15.239, 15.239 and 15.239 Å and the angles 90.00°, 90.00° and 90.00°. The distinct sites, in fractional coordinates, are Rb at (0.000, 0.000, 0.000), Rb at (0.000, 0.250, 0.375), Sr at (0.000, 0.250, 0.125) and F at (0.017, 0.091, 0.655).

---

[6]
# InCo2Pt

A geometry-optimized InCo2Pt structure (PBE, the Alexandria database).

The density of states at the Fermi level is 13.1 states/eV/cell. Its formation enthalpy at 0 K is 0.1989 eV/atom.

The structure belongs to space group R3m (No. 160, hexagonal axes); the cell edges are 2.8575, 2.8575 and 25.3572 Å and the angles 90.00°, 90.00° and 120.00°. The distinct sites, in fractional coordinates, are In at (0.0000, 0.0000, 0.0000), Co at (0.0000, 0.0000, 0.4897), Co at (0.0000, 0.0000, 0.7538) and Pt at (0.0000, 0.0000, 0.2397).

---

[7]
# Cs2BaCu2F7

A geometry-optimized Cs2BaCu2F7 structure (PBE, the Alexandria database).

The density of states at the Fermi level is 5.9 states/eV/cell. The formation energy from raw total energies comes out at -2.46 eV per atom.

The structure belongs to space group C2/m (No. 12); the cell edges are 6.130, 6.131 and 11.736 Å and the angles 90.00°, 105.07° and 90.00°. The distinct sites, in fractional coordinates, are Cs at (0.181, 0.000, 0.364), Ba at (0.000, 0.000, 0.000), Cu at (0.092, 0.500, 0.184), F at (0.000, 0.500, 0.000), F at (0.170, 0.250, 0.839) and F at (0.181, 0.500, 0.365).

---

[8]
# Al2HgGe2

A geometry-optimized Al2HgGe2 structure (PBE, the Alexandria database).

The density of states at the Fermi level is 1.6 states/eV/cell. The value obtained for the distance to the lowest polymorph of the same formula is 0.0000 eV/atom. Its formation enthalpy at 0 K is 0.1005 eV/atom.

The structure belongs to space group I4/mmm (No. 139); the cell edges are 4.550, 4.550 and 10.176 Å and the angles 90.00°, 90.00° and 90.00°. The distinct sites, in fractional coordinates, are Al at (0.000, 0.500, 0.250), Hg at (0.000, 0.000, 0.000) and Ge at (0.000, 0.000, 0.379).

---

Density for every record listed, in sequence, given in g cm⁻³: 4.98 14.51 8.22 6.94 3.45 11.88 5.17 6.30.
M_tot for every record listed, in sequence, given in μB per atom: 2.18 0.33 0.47 0.00 0.06 0.83 0.09 0.00.